Density functional theory data (PBE with a Hubbard U) for a relaxed structure of Ni2TeF.

As for the total magnetization: 0.00 μB/cell. The total energy is -35.3 eV for the cell shown. As for the polymorph energy (0 for the lowest one): 0.589 eV per atom.

The structure belongs to space group Fm-3m (No. 225); the cell edges are 5.996, 5.996 and 5.996 Å and the angles 90.00°, 90.00° and 90.00°. Symmetry generates all atoms from Ni at (0.250, 0.250, 0.250), Te at (0.000, 0.000, 0.000) and F at (0.000, 0.000, 0.500).